Entry 1:
A relaxed structure of TeRuSe2, computed with GGA-PBE.

```
TeRuSe2
1.0
1.821 1.051 7.937
-1.821 1.051 7.937
0.000 -2.103 7.937
Te Ru Se
1 1 2
direct
0.000 0.000 0.000
0.744 0.744 0.744
0.251 0.251 0.251
0.463 0.463 0.463
```

Computed properties:
- D(E_F): 0.72 states/eV/atom
- Spin magnetization: 0.00 μB/f.u.
- Raw formation energy: 0.06 eV per atom
- Total DFT energy (no corrections): -4.784 eV/atom
- Crystal system: trigonal



Entry 2:
A relaxed structure of SiAu, computed with GGA-PBE.

```
SiAu
1.0
4.267 -2.430 0.000
4.267 2.430 0.000
-1.369 0.000 4.001
Si Au
2 2
direct
0.241 0.759 0.000
0.759 0.241 0.000
0.234 0.234 0.807
0.570 0.570 0.530
```

Computed properties:
- D(E_F): 0.21 states/eV/atom
- Spin magnetization: 0.00 μB/f.u.
- Raw formation energy: 0.11 eV per atom
- Total DFT energy (no corrections): -4.244 eV/atom
- Crystal system: monoclinic



Entry 3:
A relaxed structure of LaSmErZn, computed with GGA-PBE.

```
LaSmErZn
1.0
3.622 0.000 0.000
0.000 3.622 0.000
0.000 0.000 8.818
La Sm Er Zn
1 1 1 1
direct
0.000 0.000 0.000
0.500 0.500 0.694
0.500 0.500 0.294
0.000 0.000 0.482
```

Computed properties:
- Formation enthalpy at 0 K: -0.150 eV per atom
- D(E_F): 1.42 states/eV/atom
- Spin magnetization: 0.00 μB/f.u.
- Polymorph energy (0 for the lowest one): 0 meV per atom
- Total DFT energy (no corrections): -4.021 eV/atom
- Crystal system: tetragonal



Entry 4:
A relaxed structure of CsKIn2Br8, computed with GGA-PBE.

```
CsKIn2Br8
1.0
-3.754 3.754 8.847
3.754 -3.754 8.847
3.754 3.754 -8.847
Cs K In Br
1 1 2 8
direct
0.000 0.000 0.000
0.250 0.750 0.500
0.500 0.500 0.000
0.750 0.250 0.500
0.283 0.662 0.110
0.338 0.448 0.621
0.429 0.021 0.105
0.552 0.173 0.890
0.676 0.571 0.592
0.827 0.717 0.379
0.916 0.324 0.895
0.979 0.084 0.408
```

Computed properties:
- D(E_F): 0.00 states/eV/atom
- Spin magnetization: 0.00 μB/f.u.
- Raw formation energy: -1.17 eV per atom
- Total DFT energy (no corrections): -2.901 eV/atom
- Crystal system: tetragonal



Entry 5:
A relaxed structure of CsSrAu3, computed with GGA-PBE.

```
CsSrAu3
1.0
6.016 0.000 0.000
0.000 6.016 0.000
0.000 0.000 6.016
Cs Sr Au
1 1 3
direct
0.000 0.000 0.000
0.500 0.500 0.500
0.000 0.500 0.500
0.500 0.000 0.500
0.500 0.500 0.000
```

Computed properties:
- Formation enthalpy at 0 K: -0.245 eV per atom
- D(E_F): 0.00 states/eV/atom
- Spin magnetization: 0.00 μB/f.u.
- Polymorph energy (0 for the lowest one): 0 meV per atom
- Total DFT energy (no corrections): -2.718 eV/atom
- Crystal system: cubic



Entry 6:
A relaxed structure of NaTi2O3, computed with GGA-PBE.

```
NaTi2O3
1.0
5.151 0.000 0.000
-2.576 4.461 0.000
0.000 0.000 10.486
Na Ti O
4 8 12
direct
0.333 0.667 0.000
0.333 0.667 0.500
0.667 0.333 0.000
0.667 0.333 0.500
0.000 0.000 0.000
0.000 0.000 0.500
0.000 0.336 0.250
0.000 0.664 0.750
0.336 0.000 0.250
0.336 0.336 0.750
0.664 0.000 0.750
0.664 0.664 0.250
0.000 0.315 0.628
0.000 0.315 0.872
0.000 0.685 0.128
0.000 0.685 0.372
0.315 0.000 0.628
0.315 0.000 0.872
0.315 0.315 0.128
0.315 0.315 0.372
0.685 0.000 0.128
0.685 0.000 0.372
0.685 0.685 0.628
0.685 0.685 0.872
```

Computed properties:
- D(E_F): 0.31 states/eV/atom
- Spin magnetization: 0.08 μB/f.u.
- Raw formation energy: -2.41 eV per atom
- Polymorph energy (0 for the lowest one): 26 meV per atom
- Total DFT energy (no corrections): -7.736 eV/atom
- Crystal system: hexagonal



Entry 7:
A relaxed structure of Ac7Pm4Pr, computed with GGA-PBE.

```
Ac7Pm4Pr
1.0
6.696 0.000 0.000
0.033 7.702 0.000
3.267 2.000 9.445
Ac Pm Pr
7 4 1
direct
0.000 0.000 0.000
0.167 0.418 0.337
0.330 0.834 0.665
0.496 0.251 0.998
0.504 0.749 0.002
0.670 0.166 0.335
0.833 0.582 0.663
0.166 0.916 0.335
0.335 0.333 0.666
0.665 0.667 0.334
0.834 0.084 0.665
0.000 0.500 0.000
```

Computed properties:
- Formation enthalpy at 0 K: 0.039 eV per atom
- D(E_F): 1.82 states/eV/atom
- Spin magnetization: 0.00 μB/f.u.
- Polymorph energy (0 for the lowest one): 0 meV per atom
- Total DFT energy (no corrections): -4.339 eV/atom
- Crystal system: triclinic



Entry 8:
A relaxed structure of Cu3HgIr, computed with GGA-PBE.

```
Cu3HgIr
1.0
4.661 0.000 0.000
0.000 4.661 0.000
0.000 0.000 4.661
Cu Hg Ir
3 1 1
direct
0.000 0.000 0.500
0.000 0.500 0.000
0.500 0.000 0.000
0.000 0.000 0.000
0.500 0.500 0.500
```

Computed properties:
- Formation enthalpy at 0 K: 1.577 eV per atom
- D(E_F): 0.62 states/eV/atom
- Spin magnetization: 0.00 μB/f.u.
- Polymorph energy (0 for the lowest one): 595 meV per atom
- Total DFT energy (no corrections): -2.714 eV/atom
- Crystal system: cubic



Entry 9:
A relaxed structure of SmAl2Au5, computed with GGA-PBE.

```
SmAl2Au5
1.0
-2.028 3.626 5.417
2.028 -3.626 5.417
2.028 3.626 -5.417
Sm Al Au
1 2 5
direct
0.000 0.000 0.000
0.260 0.760 0.500
0.740 0.240 0.500
0.153 0.363 0.789
0.426 0.637 0.789
0.500 0.000 0.500
0.574 0.363 0.211
0.847 0.637 0.211
```

Computed properties:
- Formation enthalpy at 0 K: -0.502 eV per atom
- D(E_F): 0.38 states/eV/atom
- Spin magnetization: 0.00 μB/f.u.
- Total DFT energy (no corrections): -4.076 eV/atom
- Crystal system: orthorhombic



Entry 10:
A relaxed structure of CsWSe2N, computed with GGA-PBE.

```
CsWSe2N
1.0
5.845 0.000 0.000
0.000 5.845 0.000
0.000 0.000 4.315
Cs W Se N
1 1 2 1
direct
0.000 0.000 0.000
0.500 0.500 0.500
0.000 0.500 0.000
0.500 0.000 0.000
0.000 0.000 0.500
```

Computed properties:
- D(E_F): 1.24 states/eV/atom
- Spin magnetization: 4.39 μB/f.u.
- Raw formation energy: 2.68 eV per atom
- Polymorph energy (0 for the lowest one): 2812 meV per atom
- Total DFT energy (no corrections): -3.144 eV/atom
- Crystal system: tetragonal



Entry 11:
A relaxed structure of CdHgOsO2, computed with GGA-PBE.

```
CdHgOsO2
1.0
4.120 0.000 0.000
0.000 4.120 0.000
0.000 0.000 5.744
Cd Hg Os O
1 1 1 2
direct
0.000 0.000 0.000
0.000 0.000 0.500
0.500 0.500 0.000
0.000 0.500 0.500
0.500 0.000 0.500
```

Computed properties:
- D(E_F): 0.60 states/eV/atom
- Spin magnetization: 3.48 μB/f.u.
- Raw formation energy: 1.37 eV per atom
- Total DFT energy (no corrections): -3.102 eV/atom
- Crystal system: tetragonal



Entry 12:
A relaxed structure of In2HgBr, computed with GGA-PBE.

```
In2HgBr
1.0
1.979 1.143 8.976
-1.979 1.143 8.976
0.000 -2.285 8.976
In Hg Br
2 1 1
direct
0.249 0.249 0.249
0.751 0.751 0.751
0.500 0.500 0.500
0.000 0.000 0.000
```

Computed properties:
- D(E_F): 0.33 states/eV/atom
- Spin magnetization: 0.00 μB/f.u.
- Raw formation energy: -0.25 eV per atom
- Polymorph energy (0 for the lowest one): 23 meV per atom
- Total DFT energy (no corrections): -2.108 eV/atom
- Crystal system: trigonal



Question: The highest total DFT energy (no corrections) belongs to which entry?
Answer: In2HgBr



Question: What is the total DFT energy (no corrections) in the eighth record?
Answer: -2.714 eV/atom